DFT (GGA-PBE) results for a geometry-optimized Si3Ni structure.

The total moment is 0.00 μB/cell. For the formation energy (no corrections), the calculation gives 76 meV/atom.

The space group is Cmmm (No. 65) and the conventional cell measures 3.8047, 3.9866 and 6.8182 Å, with angles of 90.00, 90.00 and 90.00 degrees. Symmetry generates all atoms from Si at (0.0000, 0.0000, 0.0000), Si at (0.0000, 0.5000, 0.2794) and Ni at (0.0000, 0.0000, 0.5000).



DFT (GGA-PBE) results for a geometry-optimized SrZn2Ni2 structure.

The total moment is 0.00 μB/cell. The polymorph energy (0 for the lowest one) comes out at 0.1314 eV/atom. As for the formation energy: -0.03 eV/atom.

The space group is P4/mbm (No. 127) and the conventional cell measures 7.5341, 7.5341 and 2.8402 Å, with angles of 90.00, 90.00 and 90.00 degrees. Symmetry generates all atoms from Sr at (0.0000, 0.0000, 0.0000), Zn at (0.1315, 0.3685, 0.5000) and Ni at (0.1568, 0.6568, 0.0000).



DFT (GGA-PBE) results for a geometry-optimized Rb2ReSnO6 structure.

The total moment is 0.00 μB/cell. For the formation energy (no corrections), the calculation gives -1530 meV/atom.

The space group is C2/m (No. 12) and the conventional cell measures 8.3891, 8.4201 and 5.9348 Å, with angles of 90.00, 134.89 and 90.00 degrees. Symmetry generates all atoms from Rb at (0.0000, 0.2500, 0.0000), Re at (0.0000, 0.0000, 0.5000), Sn at (0.0000, 0.5000, 0.5000), O at (0.0000, 0.2269, 0.5000), O at (0.2267, 0.0000, 0.9548) and O at (0.2282, 0.0000, 0.4997).



DFT (GGA-PBE) results for a geometry-optimized MnBeV2As structure.

The total moment is 5.71 μB/cell. As for the formation energy: 0.97 eV/atom.

The space group is P4/mmm (No. 123) and the conventional cell measures 4.5080, 4.5080 and 4.4322 Å, with angles of 90.00, 90.00 and 90.00 degrees. Symmetry generates all atoms from Mn at (0.0000, 0.0000, 0.0000), Be at (0.5000, 0.5000, 0.0000), V at (0.0000, 0.5000, 0.5000) and As at (0.0000, 0.0000, 0.5000).



Which value of total moment does entry 1 give?
0.00 μB/cell



What is the formula in the first record?
Si3Ni



Please write out number 4 again, unchanged.
DFT (GGA-PBE) results for a geometry-optimized MnBeV2As structure.

The total moment is 5.71 μB/cell. As for the formation energy: 0.97 eV/atom.

The space group is P4/mmm (No. 123) and the conventional cell measures 4.5080, 4.5080 and 4.4322 Å, with angles of 90.00, 90.00 and 90.00 degrees. Symmetry generates all atoms from Mn at (0.0000, 0.0000, 0.0000), Be at (0.5000, 0.5000, 0.0000), V at (0.0000, 0.5000, 0.5000) and As at (0.0000, 0.0000, 0.5000).